# 1
5
Lattice="5.382 0.000 0.000 0.000 5.382 0.000 0.000 0.000 5.382" Properties=species:S:1:pos:R:3 comment="RbY3B, relaxed, DFT PBE" m_tot_mub_per_fu=0.0 sg=Pm-3m rho_g_cm3=3.9 delta_e_f_kj_per_mol_fu=1078 pbc="T T T"
Rb 0.000 0.000 0.000
Y 0.000 0.000 2.691
Y 0.000 2.691 0.000
Y 2.691 0.000 0.000
B 2.691 2.691 2.691

# 2
10
Lattice="7.670 0.000 0.000 0.000 7.670 0.000 0.000 0.000 3.110" Properties=species:S:1:pos:R:3 comment="ScNb2Re2, relaxed, DFT PBE" m_tot_mub_per_fu=0.0 sg=P4/mbm rho_g_cm3=10.9 delta_e_f_kj_per_mol_fu=58 pbc="T T T"
Sc 0.000 0.000 0.000
Sc 3.835 3.835 0.000
Nb 1.155 2.680 1.555
Nb 2.680 6.515 1.555
Nb 4.991 1.155 1.555
Nb 6.515 4.991 1.555
Re 1.121 4.956 0.000
Re 2.714 1.121 0.000
Re 4.956 6.549 0.000
Re 6.549 2.714 0.000

# 3
24
Lattice="-5.362 5.362 3.599 5.362 -5.362 3.599 5.362 5.362 -3.599" Properties=species:S:1:pos:R:3 comment="ThAl9Pd2, relaxed, DFT PBE" m_tot_mub_per_fu=0.0 sg=I4_1/amd rho_g_cm3=5.5 delta_e_f_kj_per_mol_fu=-501 pbc="T T T"
Th 5.362 2.681 0.900
Th 0.000 2.681 2.699
Al 5.362 -2.681 2.699
Al 4.055 -0.511 1.300
Al 6.670 -0.511 1.300
Al 2.170 1.374 0.499
Al 8.555 1.374 0.499
Al 4.055 4.851 -1.300
Al 1.307 -0.511 2.299
Al 2.170 3.988 0.499
Al 3.193 -1.374 4.098
Al 2.170 6.736 -0.499
Al 3.193 1.374 3.100
Al 4.055 5.874 1.300
Al 1.307 0.511 4.899
Al -3.193 3.988 3.100
Al 3.193 3.988 3.100
Al -1.307 5.874 2.299
Al 1.307 5.874 2.299
Al 0.000 8.043 0.900
Pd 0.000 0.000 0.000
Pd 2.681 2.681 -1.800
Pd 2.681 -2.681 1.800
Pd 0.000 5.362 0.000

# 4
5
Lattice="5.844 0.000 0.000 0.000 5.844 0.000 0.000 0.000 5.844" Properties=species:S:1:pos:R:3 comment="NaCoI3, relaxed, DFT PBE" m_tot_mub_per_fu=3.0 sg=Pm-3m e_form_raw_mev_per_atom=545 rho_g_cm3=3.8 pbc="T T T"
Na 0.000 0.000 0.000
Co 2.922 2.922 2.922
I 0.000 0.000 2.922
I 0.000 2.922 0.000
I 2.922 0.000 0.000

# 5
4
Lattice="0.000 3.904 3.904 3.904 0.000 3.904 3.904 3.904 0.000" Properties=species:S:1:pos:R:3 comment="Ba2RhPb, relaxed, DFT PBE" m_tot_mub_per_fu=0.0 sg=F-43m rho_g_cm3=8.2 delta_e_f_kj_per_mol_fu=-25 pbc="T T T"
Ba 0.000 0.000 0.000
Ba 1.952 1.952 1.952
Rh 5.856 5.856 5.856
Pb 3.904 3.904 3.904

# 6
4
Lattice="3.568 0.000 0.000 -0.004 4.822 0.000 -1.775 -2.222 5.600" Properties=species:S:1:pos:R:3 comment="TlSiHSe, relaxed, DFT PBE" m_tot_mub_per_fu=0.0 dft_energy_ev_per_atom=-3.70 sg=P1 rho_g_cm3=5.4 pbc="T T T"
Tl 0.000 0.000 0.000
Si 0.000 2.634 2.201
H 0.000 3.373 3.554
Se 1.784 1.103 2.751

# 7
5
Lattice="5.505 0.000 0.000 0.000 5.505 0.000 0.000 0.000 4.778" Properties=species:S:1:pos:R:3 comment="La2HgGeRu, relaxed, DFT PBE" m_tot_mub_per_fu=0.0 sg=P4/mmm rho_g_cm3=7.5 delta_e_f_kj_per_mol_fu=-207 pbc="T T T"
La 0.000 2.752 0.000
La 2.752 0.000 0.000
Hg 0.000 0.000 2.389
Ge 2.752 2.752 2.389
Ru 2.752 2.752 0.000

# 8
8
Lattice="5.284 0.000 0.000 -1.407 5.353 0.000 -0.038 -1.643 5.299" Properties=species:S:1:pos:R:3 comment="Zr2AlSi, relaxed, DFT PBE" m_tot_mub_per_fu=0.0 sg=P-1 e_form_raw_mev_per_atom=-648 rho_g_cm3=5.3 pbc="T T T"
Zr 0.763 0.195 1.507
Zr 0.549 1.485 4.554
Zr 3.290 2.224 0.745
Zr 3.076 3.514 3.793
Al 0.480 2.954 2.084
Al 3.359 0.755 3.215
Si 1.743 -1.004 4.237
Si 2.096 4.713 1.062